# 1
Rb2Ti2Ag | PBE-GGA | optimized geometry

Energy above the lowest structure with this stoichiometry: 0 kJ/mol of formula units
Space group: P4/mbm
Crystal system: tetragonal

Cell: 6.8938 6.8938 6.4935 Å, 90.00 90.00 90.00°
With the nearest neighbours (Å) after each atom.
Sites, in units of the cell vectors:
Rb1 0.2139 0.7139 0.5000  4 Rb 3.48, 2 Ti 3.69
Rb2 0.7139 0.7861 0.5000  4 Rb 3.48, 2 Ti 3.69
Rb3 0.7861 0.2861 0.5000  4 Rb 3.48, 2 Ti 3.69
Rb4 0.2861 0.2139 0.5000  4 Rb 3.48, 2 Ti 3.69
Ag1 0.0000 0.0000 0.0000  4 Ti 2.81
Ag2 0.5000 0.5000 0.0000  4 Ti 2.81
Ti1 0.3936 0.8936 0.0000  1 Ti 2.07
Ti2 0.8936 0.6064 0.0000  1 Ti 2.07
Ti3 0.6064 0.1064 0.0000  1 Ti 2.07
Ti4 0.1064 0.3936 0.0000  1 Ti 2.07



# 2
Mn5V6Ir | PBE-GGA | optimized geometry

Space group: Immm
Crystal system: orthorhombic

Cell: 4.1087 5.8142 7.1114 Å, 114.13 106.79 90.00°
With the nearest neighbours (Å) after each atom.
Sites, in units of the cell vectors:
V1 0.8283 0.5728 0.6569  7 Mn 2.46-2.55, 1 Ir 2.58
V2 0.8283 0.0840 0.6569  7 Mn 2.46-2.55, 1 Ir 2.58
V3 0.5000 0.7368 0.0000  6 Mn 2.47-2.55, 2 Ir 2.56, 1 V 2.75
V4 0.5000 0.2632 0.0000  6 Mn 2.47-2.55, 2 Ir 2.56, 1 V 2.75
V5 0.1717 0.9160 0.3431  7 Mn 2.46-2.55, 1 Ir 2.58
V6 0.1717 0.4272 0.3431  7 Mn 2.46-2.55, 1 Ir 2.58
Mn1 0.6658 0.1658 0.3316  8 V 2.46-2.55
Mn2 0.3328 0.3329 0.6658  8 V 2.48-2.50
Mn3 0.0000 0.5000 0.0000  8 V 2.47-2.55
Mn4 0.6672 0.6671 0.3342  8 V 2.48-2.50
Mn5 0.3342 0.8342 0.6684  8 V 2.46-2.55
Ir1 0.0000 0.0000 0.0000  8 V 2.56-2.58



Going through the records in order, we get final energy values of -0.237; -0.692 Ry per atom.